# 1
Below is a geometry-optimized MgIn5 structure, with properties calculated at the GGA-PBEsol level.

Computed properties:
Formation enthalpy at 0 K (eV/f.u.): -0.12
E_tot (eV/atom): -2.792

```
data_MgIn5
_chemical_formula_sum 'Mg1 In5'
_cell_length_a 5.6999
_cell_length_b 5.6999
_cell_length_c 5.2860
_cell_angle_alpha 90.00
_cell_angle_beta 90.00
_cell_angle_gamma 120.00
_symmetry_space_group_name_H-M 'P 1'
_symmetry_Int_Tables_number 1
loop_
_symmetry_equiv_pos_as_xyz
'x,y,z'
loop_
_atom_site_label
_atom_site_fract_x
_atom_site_fract_y
_atom_site_fract_z
Mg1 0.0000 0.0000 0.0000
In1 0.0000 0.3295 0.5000
In2 0.3295 0.0000 0.5000
In3 0.3333 0.6667 0.0000
In4 0.6667 0.3333 0.0000
In5 0.6705 0.6705 0.5000
```


# 2
Below is a geometry-optimized Mg3In4 structure, with properties calculated at the GGA-PBEsol level.

Computed properties:
Formation enthalpy at 0 K (eV/f.u.): -0.38
E_tot (eV/atom): -2.494

```
data_Mg3In4
_chemical_formula_sum 'Mg6 In8'
_cell_length_a 3.9427
_cell_length_b 3.9427
_cell_length_c 21.3641
_cell_angle_alpha 90.00
_cell_angle_beta 90.00
_cell_angle_gamma 90.00
_symmetry_space_group_name_H-M 'P 1'
_symmetry_Int_Tables_number 1
loop_
_symmetry_equiv_pos_as_xyz
'x,y,z'
loop_
_atom_site_label
_atom_site_fract_x
_atom_site_fract_y
_atom_site_fract_z
Mg1 0.0000 0.0000 0.0000
Mg2 0.0000 0.0000 0.2870
Mg3 0.0000 0.0000 0.7130
Mg4 0.5000 0.5000 0.2130
Mg5 0.5000 0.5000 0.5000
Mg6 0.5000 0.5000 0.7870
In1 0.0000 0.0000 0.1446
In2 0.0000 0.0000 0.4283
In3 0.0000 0.0000 0.5717
In4 0.0000 0.0000 0.8554
In5 0.5000 0.5000 0.0717
In6 0.5000 0.5000 0.3554
In7 0.5000 0.5000 0.6446
In8 0.5000 0.5000 0.9283
```


# 3
Below is a geometry-optimized MgIn structure, with properties calculated at the GGA-PBEsol level.

Computed properties:
Formation enthalpy at 0 K (eV/f.u.): 0.14
E_tot (eV/atom): -2.281

```
data_MgIn
_chemical_formula_sum 'Mg2 In2'
_cell_length_a 4.5617
_cell_length_b 4.5617
_cell_length_c 5.8350
_cell_angle_alpha 90.00
_cell_angle_beta 90.00
_cell_angle_gamma 120.00
_symmetry_space_group_name_H-M 'P 1'
_symmetry_Int_Tables_number 1
loop_
_symmetry_equiv_pos_as_xyz
'x,y,z'
loop_
_atom_site_label
_atom_site_fract_x
_atom_site_fract_y
_atom_site_fract_z
Mg1 0.3333 0.6667 0.2500
Mg2 0.6667 0.3333 0.7500
In1 0.0000 0.0000 0.0000
In2 0.0000 0.0000 0.5000
```


# 4
Below is a geometry-optimized Mg3In structure, with properties calculated at the GGA-PBEsol level.

Computed properties:
Formation enthalpy at 0 K (eV/f.u.): -0.31
E_tot (eV/atom): -2.111

```
data_Mg3In
_chemical_formula_sum 'Mg3 In1'
_cell_length_a 3.3065
_cell_length_b 4.3525
_cell_length_c 6.2318
_cell_angle_alpha 90.00
_cell_angle_beta 90.00
_cell_angle_gamma 90.00
_symmetry_space_group_name_H-M 'P 1'
_symmetry_Int_Tables_number 1
loop_
_symmetry_equiv_pos_as_xyz
'x,y,z'
loop_
_atom_site_label
_atom_site_fract_x
_atom_site_fract_y
_atom_site_fract_z
Mg1 0.0000 0.0000 0.0000
Mg2 0.5000 0.5000 0.2515
Mg3 0.5000 0.5000 0.7485
In1 0.0000 0.0000 0.5000
```


# 5
Below is a geometry-optimized Mg3In structure, with properties calculated at the GGA-PBEsol level.

Computed properties:
Formation enthalpy at 0 K (eV/f.u.): -0.13
E_tot (eV/atom): -2.066

```
data_Mg3In
_chemical_formula_sum 'Mg3 In1'
_cell_length_a 3.1209
_cell_length_b 5.2601
_cell_length_c 5.5385
_cell_angle_alpha 90.00
_cell_angle_beta 92.68
_cell_angle_gamma 90.00
_symmetry_space_group_name_H-M 'P 1'
_symmetry_Int_Tables_number 1
loop_
_symmetry_equiv_pos_as_xyz
'x,y,z'
loop_
_atom_site_label
_atom_site_fract_x
_atom_site_fract_y
_atom_site_fract_z
Mg1 0.0000 0.0000 0.0000
Mg2 0.2728 0.5000 0.7514
Mg3 0.7272 0.5000 0.2486
In1 0.5000 0.0000 0.5000
```


# 6
Below is a geometry-optimized Mg3In structure, with properties calculated at the GGA-PBEsol level.

Computed properties:
Formation enthalpy at 0 K (eV/f.u.): -0.41
E_tot (eV/atom): -2.137

```
data_Mg3In
_chemical_formula_sum 'Mg3 In1'
_cell_length_a 4.4532
_cell_length_b 4.4532
_cell_length_c 4.4532
_cell_angle_alpha 90.00
_cell_angle_beta 90.00
_cell_angle_gamma 90.00
_symmetry_space_group_name_H-M 'P 1'
_symmetry_Int_Tables_number 1
loop_
_symmetry_equiv_pos_as_xyz
'x,y,z'
loop_
_atom_site_label
_atom_site_fract_x
_atom_site_fract_y
_atom_site_fract_z
Mg1 0.0000 0.0000 0.5000
Mg2 0.0000 0.5000 0.0000
Mg3 0.5000 0.0000 0.0000
In1 0.5000 0.5000 0.5000
```


# 7
Below is a geometry-optimized Mg4In3 structure, with properties calculated at the GGA-PBEsol level.

Computed properties:
Formation enthalpy at 0 K (eV/f.u.): -0.47
E_tot (eV/atom): -2.326

```
data_Mg4In3
_chemical_formula_sum 'Mg8 In6'
_cell_length_a 3.8920
_cell_length_b 3.8920
_cell_length_c 21.3285
_cell_angle_alpha 90.00
_cell_angle_beta 90.00
_cell_angle_gamma 90.00
_symmetry_space_group_name_H-M 'P 1'
_symmetry_Int_Tables_number 1
loop_
_symmetry_equiv_pos_as_xyz
'x,y,z'
loop_
_atom_site_label
_atom_site_fract_x
_atom_site_fract_y
_atom_site_fract_z
Mg1 0.0000 0.0000 0.0704
Mg2 0.0000 0.0000 0.3554
Mg3 0.0000 0.0000 0.6446
Mg4 0.0000 0.0000 0.9296
Mg5 0.5000 0.5000 0.1446
Mg6 0.5000 0.5000 0.4296
Mg7 0.5000 0.5000 0.5704
Mg8 0.5000 0.5000 0.8554
In1 0.0000 0.0000 0.2122
In2 0.0000 0.0000 0.5000
In3 0.0000 0.0000 0.7878
In4 0.5000 0.5000 0.0000
In5 0.5000 0.5000 0.2878
In6 0.5000 0.5000 0.7122
```


# 8
Below is a geometry-optimized MgIn structure, with properties calculated at the GGA-PBEsol level.

Computed properties:
Formation enthalpy at 0 K (eV/f.u.): -0.20
E_tot (eV/atom): -2.449

```
data_MgIn
_chemical_formula_sum 'Mg1 In1'
_cell_length_a 3.5672
_cell_length_b 3.5672
_cell_length_c 3.5672
_cell_angle_alpha 90.00
_cell_angle_beta 90.00
_cell_angle_gamma 90.00
_symmetry_space_group_name_H-M 'P 1'
_symmetry_Int_Tables_number 1
loop_
_symmetry_equiv_pos_as_xyz
'x,y,z'
loop_
_atom_site_label
_atom_site_fract_x
_atom_site_fract_y
_atom_site_fract_z
Mg1 0.0000 0.0000 0.0000
In1 0.5000 0.5000 0.5000
```


# 9
Below is a geometry-optimized Mg3In structure, with properties calculated at the GGA-PBEsol level.

Computed properties:
Formation enthalpy at 0 K (eV/f.u.): -0.27
E_tot (eV/atom): -2.101

```
data_Mg3In
_chemical_formula_sum 'Mg12 In4'
_cell_length_a 6.2035
_cell_length_b 10.8726
_cell_length_c 5.3269
_cell_angle_alpha 90.00
_cell_angle_beta 90.00
_cell_angle_gamma 90.00
_symmetry_space_group_name_H-M 'P 1'
_symmetry_Int_Tables_number 1
loop_
_symmetry_equiv_pos_as_xyz
'x,y,z'
loop_
_atom_site_label
_atom_site_fract_x
_atom_site_fract_y
_atom_site_fract_z
Mg1 0.0000 0.0849 0.2500
Mg2 0.0000 0.9151 0.7500
Mg3 0.2493 0.3379 0.2500
Mg4 0.2493 0.6621 0.7500
Mg5 0.2507 0.1621 0.7500
Mg6 0.2507 0.8379 0.2500
Mg7 0.5000 0.4151 0.7500
Mg8 0.5000 0.5849 0.2500
Mg9 0.7493 0.1621 0.7500
Mg10 0.7493 0.8379 0.2500
Mg11 0.7507 0.3379 0.2500
Mg12 0.7507 0.6621 0.7500
In1 0.0000 0.4087 0.7500
In2 0.0000 0.5913 0.2500
In3 0.5000 0.0913 0.2500
In4 0.5000 0.9087 0.7500
```


# 10
Below is a geometry-optimized Mg7In structure, with properties calculated at the GGA-PBEsol level.

Computed properties:
Formation enthalpy at 0 K (eV/f.u.): -0.28
E_tot (eV/atom): -1.910

```
data_Mg7In
_chemical_formula_sum 'Mg7 In1'
_cell_length_a 6.3301
_cell_length_b 6.3301
_cell_length_c 6.3301
_cell_angle_alpha 60.00
_cell_angle_beta 60.00
_cell_angle_gamma 60.00
_symmetry_space_group_name_H-M 'P 1'
_symmetry_Int_Tables_number 1
loop_
_symmetry_equiv_pos_as_xyz
'x,y,z'
loop_
_atom_site_label
_atom_site_fract_x
_atom_site_fract_y
_atom_site_fract_z
Mg1 0.0000 0.0000 0.0000
Mg2 0.0000 0.0000 0.5000
Mg3 0.0000 0.5000 0.0000
Mg4 0.0000 0.5000 0.5000
Mg5 0.5000 0.0000 0.0000
Mg6 0.5000 0.0000 0.5000
Mg7 0.5000 0.5000 0.0000
In1 0.5000 0.5000 0.5000
```


# 11
Below is a geometry-optimized Mg3In structure, with properties calculated at the GGA-PBEsol level.

Computed properties:
Formation enthalpy at 0 K (eV/f.u.): -0.22
E_tot (eV/atom): -2.088

```
data_Mg3In
_chemical_formula_sum 'Mg3 In1'
_cell_length_a 3.7563
_cell_length_b 3.7563
_cell_length_c 6.3965
_cell_angle_alpha 90.00
_cell_angle_beta 90.00
_cell_angle_gamma 90.00
_symmetry_space_group_name_H-M 'P 1'
_symmetry_Int_Tables_number 1
loop_
_symmetry_equiv_pos_as_xyz
'x,y,z'
loop_
_atom_site_label
_atom_site_fract_x
_atom_site_fract_y
_atom_site_fract_z
Mg1 0.0000 0.0000 0.0000
Mg2 0.5000 0.5000 0.2512
Mg3 0.5000 0.5000 0.7488
In1 0.0000 0.0000 0.5000
```


# 12
Below is a geometry-optimized Mg3In structure, with properties calculated at the GGA-PBEsol level.

Computed properties:
Formation enthalpy at 0 K (eV/f.u.): -0.22
E_tot (eV/atom): -2.088

```
data_Mg3In
_chemical_formula_sum 'Mg18 In6'
_cell_length_a 8.4022
_cell_length_b 8.4022
_cell_length_c 9.0494
_cell_angle_alpha 90.00
_cell_angle_beta 90.00
_cell_angle_gamma 120.00
_symmetry_space_group_name_H-M 'P 1'
_symmetry_Int_Tables_number 1
loop_
_symmetry_equiv_pos_as_xyz
'x,y,z'
loop_
_atom_site_label
_atom_site_fract_x
_atom_site_fract_y
_atom_site_fract_z
Mg1 0.0000 0.0000 0.2587
Mg2 0.0000 0.0000 0.7587
Mg3 0.0000 0.2682 0.0000
Mg4 0.0000 0.3716 0.3363
Mg5 0.0000 0.6284 0.8363
Mg6 0.0000 0.7318 0.5000
Mg7 0.2682 0.0000 0.0000
Mg8 0.2682 0.2682 0.5000
Mg9 0.3333 0.6667 0.0723
Mg10 0.3333 0.6667 0.5723
Mg11 0.3716 0.0000 0.3363
Mg12 0.3716 0.3716 0.8363
Mg13 0.6284 0.0000 0.8363
Mg14 0.6284 0.6284 0.3363
Mg15 0.6667 0.3333 0.0723
Mg16 0.6667 0.3333 0.5723
Mg17 0.7318 0.0000 0.5000
Mg18 0.7318 0.7318 0.0000
In1 0.0000 0.3333 0.6729
In2 0.0000 0.6667 0.1729
In3 0.3333 0.0000 0.6729
In4 0.3333 0.3333 0.1729
In5 0.6667 0.0000 0.1729
In6 0.6667 0.6667 0.6729
```